Record 1
VASP calculation (PBE-GGA) on crystalline ZnGaPd5 at its relaxed geometry.

DFT formation energy	-373	meV per atom
SG	No. 123
crystal system	tetragonal
excess energy over the best structure of this formula in the dataset	0.0	meV/atom

Lattice parameters (Å, degrees): 4.209 4.209 6.293 90.00 90.00 90.00
Sites, in units of the cell vectors:
Zn 0.000 0.000 0.000
Ga 0.500 0.500 0.500
Pd 0.000 0.500 0.273
Pd 0.000 0.500 0.727
Pd 0.500 0.000 0.273
Pd 0.500 0.000 0.727
Pd 0.500 0.500 0.000

Record 2
VASP calculation (PBE-GGA) on crystalline LaNd5Cd6 at its relaxed geometry.

DFT formation energy	-319	meV per atom
SG	No. 65
crystal system	orthorhombic

Lattice parameters (Å, degrees): 8.636 8.636 7.777 90.00 90.00 143.16
Sites, in units of the cell vectors:
La 0.000 0.000 0.000
Nd 0.000 0.000 0.500
Nd 0.333 0.667 0.000
Nd 0.335 0.665 0.500
Nd 0.665 0.335 0.500
Nd 0.667 0.333 0.000
Cd 0.169 0.831 0.253
Cd 0.169 0.831 0.747
Cd 0.500 0.500 0.253
Cd 0.500 0.500 0.747
Cd 0.831 0.169 0.253
Cd 0.831 0.169 0.747